1.
Compound: NaLi2TcO4
Source: Alexandria via LeMat-Bulk
Functional: PBE-GGA
Structure: relaxed

Unit cell a=5.1379 b=5.1379 c=7.6176 alpha=90.00 beta=90.00 gamma=90.00
Space group I-42m (No. 121)
Asymmetric unit:
Na: 0.0000 0.0000 0.0000 [2 per cell]
Li: 0.0000 0.5000 0.2500 [4 per cell]
Tc: 0.0000 0.0000 0.5000 [2 per cell]
O: 0.2106 0.2106 0.3623 [8 per cell]

Computed properties:
M_tot = 4.000 μB per cell
final energy = -0.4480 Ry per atom



2.
Compound: Sr6Ca2Mg
Source: Alexandria via LeMat-Bulk
Functional: PBE-GGA
Structure: relaxed

Unit cell a=11.8547 b=11.8592 c=6.0907 alpha=90.00 beta=90.00 gamma=90.00
Space group Pnnm (No. 58)
Asymmetric unit:
Sr: 0.0239 0.1804 0.0000 [4 per cell]
Sr: 0.1300 0.6288 0.5000 [4 per cell]
Sr: 0.1804 0.9748 0.5000 [4 per cell]
Ca: 0.1913 0.3073 0.5000 [4 per cell]
Mg: 0.0000 0.5000 0.0000 [2 per cell]

Computed properties:
M_tot = 0.001 μB per cell
relative energy among the computed polymorphs = 0 meV per atom
final energy = -0.1268 Ry per atom



3.
Compound: PmGa5Ir2Ru
Source: Alexandria via LeMat-Bulk
Functional: PBE-GGA
Structure: relaxed

Unit cell a=4.7993 b=4.7993 c=7.5774 alpha=90.00 beta=90.00 gamma=90.00
Space group P4/mmm (No. 123)
Asymmetric unit:
Pm: 0.0000 0.0000 0.0000 [1 per cell]
Ga: 0.0000 0.5000 0.3201 [4 per cell]
Ga: 0.5000 0.5000 0.0000 [1 per cell]
Ir: 0.5000 0.5000 0.3040 [2 per cell]
Ru: 0.0000 0.0000 0.5000 [1 per cell]

Computed properties:
M_tot = 1.107 μB per cell
final energy = -0.3937 Ry per atom



4.
Compound: La6CN2O2
Source: Alexandria via LeMat-Bulk
Functional: PBE-GGA
Structure: relaxed

Unit cell a=6.4664 b=11.2463 c=6.4811 alpha=90.00 beta=109.22 gamma=90.00
Space group C2/m (No. 12)
Asymmetric unit:
La: 0.2400 0.1752 0.2413 [8 per cell]
La: 0.2435 0.0000 0.7636 [4 per cell]
C: 0.0000 0.0000 0.0000 [2 per cell]
N: 0.0000 0.3279 0.0000 [4 per cell]
O: 0.0000 0.1613 0.5000 [4 per cell]

Computed properties:
M_tot = 2.514 μB per cell
final energy = -0.5523 Ry per atom



5.
Compound: CoHg3Os
Source: Alexandria via LeMat-Bulk
Functional: PBE-GGA
Structure: relaxed

Unit cell a=5.2151 b=5.2151 c=5.2151 alpha=90.00 beta=90.00 gamma=90.00
Space group Pm-3m (No. 221)
Asymmetric unit:
Co: 0.0000 0.0000 0.0000 [1 per cell]
Hg: 0.0000 0.5000 0.5000 [3 per cell]
Os: 0.5000 0.5000 0.5000 [1 per cell]

Computed properties:
M_tot = 3.429 μB per cell
relative energy among the computed polymorphs = 0 meV per atom
final energy = -0.1770 Ry per atom



6.
Compound: PmSb2P
Source: Alexandria via LeMat-Bulk
Functional: PBE-GGA
Structure: relaxed

Unit cell a=4.2155 b=4.2155 c=5.7647 alpha=90.00 beta=90.00 gamma=90.00
Space group P4/mmm (No. 123)
Asymmetric unit:
Pm: 0.0000 0.0000 0.0000 [1 per cell]
Sb: 0.0000 0.5000 0.5000 [2 per cell]
P: 0.5000 0.5000 0.0000 [1 per cell]

Computed properties:
M_tot = 0.000 μB per cell
final energy = -0.3688 Ry per atom